# CrReAg2 PBE optimized geometry
data_CrReAg2
_chemical_formula_sum 'Cr2 Re2 Ag4'
_space_group_name_H-M_alt 'C m m m'
_space_group_IT_number 65
_space_group_name_Hall '-C 2 2'
_cell_length_a 3.054
_cell_length_b 4.285
_cell_length_c 9.529
_cell_angle_alpha 90.00
_cell_angle_beta 90.00
_cell_angle_gamma 90.00
loop_
_atom_site_label
_atom_site_fract_x
_atom_site_fract_y
_atom_site_fract_z
_atom_site_occupancy
Cr1 0.000 0.000 0.000 1
Re1 0.000 0.000 0.500 1
Ag1 0.000 0.500 0.241 1
# energy above the lowest structure with this stoichiometry	8.86	kcal/mol of atoms